Record 1
Here is a relaxed structure of NbSbPd3 from the Alexandria database. Energies are from PBE-GGA.

abc: 4.8724 4.8724 4.8724
angles: 90.00 90.00 90.00
Last column: nearest neighbours and their distance in Å.
Space group Pm-3m (No. 221)
One atom of each set of equivalent atoms:
Nb 0.0000 0.0000 0.0000  6 Pd 2.44
Sb 0.5000 0.5000 0.5000  12 Pd 3.45
Pd 0.0000 0.0000 0.5000  2 Nb 2.44

Output
Formation energy without anion corrections, eV per atom: 0.784
E above lowest polymorph, meV/atom: 30


Record 2
Here is a relaxed structure of TcOsPb2 from the Alexandria database. Energies are from PBE-GGA.

abc: 3.2243 3.2243 25.9851
angles: 90.00 90.00 120.00
Last column: nearest neighbours and their distance in Å.
Space group R-3m (No. 166, hexagonal axes)
One atom of each set of equivalent atoms:
Tc 0.0000 0.0000 0.0000  6 Pb 2.86
Os 0.0000 0.0000 0.5000  6 Pb 2.85
Pb 0.0000 0.0000 0.2496  3 Os 2.85, 3 Tc 2.86

Output
E above lowest polymorph, meV/atom: 646


Record 3
Here is a relaxed structure of NaWI2N from the Alexandria database. Energies are from PBE-GGA.

abc: 5.7603 5.7603 3.8832
angles: 90.00 90.00 90.00
Last column: nearest neighbours and their distance in Å.
Space group P4/mmm (No. 123)
One atom of each set of equivalent atoms:
Na 0.0000 0.0000 0.0000  8 I 3.47, 2 Na 3.88
W 0.5000 0.5000 0.5000  2 N 1.94
I 0.0000 0.5000 0.5000  2 W 2.88
N 0.5000 0.5000 0.0000  2 W 1.94

Output
Formation energy without anion corrections, eV per atom: -0.055
E above lowest polymorph, meV/atom: 0


Record 4
Here is a relaxed structure of Mg4NiPt3 from the Alexandria database. Energies are from PBE-GGA.

abc: 4.5341 4.5341 12.0936
angles: 90.00 90.00 90.00
Last column: nearest neighbours and their distance in Å.
Space group I4/mmm (No. 139)
One atom of each set of equivalent atoms:
Mg 0.0000 0.5000 0.1237  6 Pt 2.72-2.75, 2 Ni 2.72, 1 Mg 2.99
Ni 0.0000 0.0000 0.0000  8 Mg 2.72, 2 Pt 2.99
Pt 0.0000 0.0000 0.2473  8 Mg 2.72-2.75, 1 Ni 2.99
Pt 0.0000 0.0000 0.5000  8 Mg 2.72

Output
E, eV per cell: -71.67


Record 5
Here is a relaxed structure of TmNpRu from the Alexandria database. Energies are from PBE-GGA.

abc: 4.8633 4.8633 19.8663
angles: 90.00 90.00 120.00
Last column: nearest neighbours and their distance in Å.
Space group R-3m (No. 166, hexagonal axes)
One atom of each set of equivalent atoms:
Tm 0.0000 0.0000 0.1211  3 Ru 2.83
Np 0.0000 0.0000 0.3092  1 Ru 2.53
Ru 0.0000 0.0000 0.4367  1 Ru 2.51, 1 Np 2.53

Output
E, eV per cell: -158.33


Record 6
Here is a relaxed structure of TbNdEuDy from the Alexandria database. Energies are from PBE-GGA.

abc: 8.2002 8.2002 8.2002
angles: 90.00 90.00 90.00
Last column: nearest neighbours and their distance in Å.
Space group F-43m (No. 216)
One atom of each set of equivalent atoms:
Tb 0.0000 0.0000 0.0000  4 Eu 3.55, 4 Nd 3.55
Nd 0.2500 0.2500 0.2500  4 Tb 3.55, 4 Dy 3.55
Eu 0.2500 0.2500 0.7500  4 Tb 3.55, 4 Dy 3.55
Dy 0.0000 0.0000 0.5000  4 Nd 3.55, 4 Eu 3.55

Output
E, eV per cell: -94.61


Number 1: DOS(E_F) 4.937 states/eV per cell. Number 2: DOS(E_F) 16.076 states/eV per cell. Number 3: DOS(E_F) 1.446 states/eV per cell. Number 4: DOS(E_F) 5.052 states/eV per cell. Number 5: DOS(E_F) 35.855 states/eV per cell. Number 6: DOS(E_F) 31.123 states/eV per cell.